DFT (PBE) results for a geometry-optimized Re2IF2 structure.

Properties
total magnetic moment = 0.155 μB/atom
formation energy (no corrections) = 0.156 eV/atom
DFT total energy = -5.882 eV/atom
relative energy among the computed polymorphs = 0.00 eV per formula unit

Cell lengths 10.1431, 10.1431, 2.6754 Å; angles 90.00, 90.00, 90.00 degrees
Space group P4/mbm (No. 127)
Asymmetric unit:
Re: 0.0808 0.4192 0.0000
I: 0.0000 0.0000 0.5000
F: 0.1938 0.3062 0.5000